DFT (PBE) results for CsMoS2Cl after structural relaxation.

POSCAR file:
```
CsMoS2Cl
1.0
4.7498 0.0000 0.0000
0.0000 4.7498 0.0000
0.0000 0.0000 5.3801
Cs Mo S Cl
1 1 2 1
Direct
0.0000 0.0000 0.0000
0.5000 0.5000 0.5000
0.0000 0.5000 0.5000
0.5000 0.0000 0.5000
0.5000 0.5000 0.0000
```

## Properties
Formation energy without anion corrections: -3.73 eV/f.u.
SG: P4/mmm
Crystal system: tetragonal



DFT (PBE) results for NaAsPtO5 after structural relaxation.

POSCAR file:
```
NaAsPtO5
1.0
3.3712 -4.5205 0.0000
3.3712 4.5205 0.0000
-3.0872 0.0000 6.6066
Na As Pt O
2 2 2 10
Direct
0.1625 0.8375 0.7500
0.8375 0.1625 0.2500
0.1894 0.8106 0.2500
0.8106 0.1894 0.7500
0.5000 0.5000 0.0000
0.5000 0.5000 0.5000
0.1156 0.2536 0.9295
0.1767 0.5876 0.3776
0.2536 0.1156 0.4295
0.4100 0.5900 0.7500
0.4124 0.8233 0.1224
0.5876 0.1767 0.8776
0.5900 0.4100 0.2500
0.7464 0.8844 0.5705
0.8233 0.4124 0.6224
0.8844 0.7464 0.0705
```

## Properties
Formation energy without anion corrections: -8.38 eV/f.u.
SG: C2/c
Crystal system: monoclinic



DFT (PBE) results for La3YRu after structural relaxation.

POSCAR file:
```
La3YRu
1.0
5.5694 0.0000 0.0000
0.0000 5.5694 0.0000
0.0000 0.0000 5.5694
La Y Ru
3 1 1
Direct
0.0000 0.0000 0.5000
0.0000 0.5000 0.0000
0.5000 0.0000 0.0000
0.0000 0.0000 0.0000
0.5000 0.5000 0.5000
```

## Properties
SG: Pm-3m
Energy of formation: 1360 meV per atom
Crystal system: cubic



DFT (PBE) results for Pr2PuSb4 after structural relaxation.

POSCAR file:
```
Pr2PuSb4
1.0
4.3486 0.0000 0.0000
0.0000 4.3486 0.0000
0.0000 0.0000 12.0817
Pr Pu Sb
2 1 4
Direct
0.0000 0.5000 0.2097
0.5000 0.0000 0.7903
0.0000 0.0000 0.5000
0.0000 0.0000 0.0000
0.0000 0.5000 0.6847
0.5000 0.0000 0.3153
0.5000 0.5000 0.0000
```

## Properties
Formation energy without anion corrections: -4.98 eV/f.u.
SG: P-4m2
Crystal system: tetragonal



DFT (PBE) results for Ge4Bi after structural relaxation.

POSCAR file:
```
Ge4Bi
1.0
5.4866 0.0000 0.0000
0.0000 5.4866 0.0000
0.0000 0.0000 5.4866
Ge Bi
4 1
Direct
0.0000 0.0000 0.0000
0.0000 0.5000 0.5000
0.5000 0.0000 0.5000
0.5000 0.5000 0.0000
0.5000 0.5000 0.5000
```

## Properties
SG: Pm-3m
Energy of formation: 1182 meV per atom
Crystal system: cubic



DFT (PBE) results for SrCd2CuAu4 after structural relaxation.

POSCAR file:
```
SrCd2CuAu4
1.0
2.3101 1.3337 9.4434
-2.3101 1.3337 9.4434
0.0000 -2.6674 9.4434
Sr Cd Cu Au
1 2 1 4
Direct
0.0000 0.0000 0.0000
0.2395 0.2395 0.2395
0.7605 0.7605 0.7605
0.5000 0.5000 0.5000
0.1377 0.1377 0.1377
0.4013 0.4013 0.4013
0.5987 0.5987 0.5987
0.8623 0.8623 0.8623
```

## Properties
SG: R-3m
Energy of formation: -287 meV per atom
Crystal system: trigonal



DFT (PBE) results for CaZnOs after structural relaxation.

POSCAR file:
```
CaZnOs
1.0
2.9096 0.0000 0.0000
0.0000 2.9096 0.0000
0.0000 0.0000 12.8532
Ca Zn Os
2 2 2
Direct
0.0000 0.0000 0.0000
0.5000 0.5000 0.5000
0.0000 0.0000 0.6901
0.5000 0.5000 0.1901
0.0000 0.0000 0.3253
0.5000 0.5000 0.8253
```

## Properties
SG: I4mm
Energy of formation: 381 meV per atom
Crystal system: tetragonal



DFT (PBE) results for Li2La2TbPb2 after structural relaxation.

POSCAR file:
```
Li2La2TbPb2
1.0
2.4311 1.4036 9.3007
-2.4311 1.4036 9.3007
0.0000 -2.8072 9.3007
Li La Tb Pb
2 2 1 2
Direct
0.1023 0.1023 0.1023
0.8977 0.8977 0.8977
0.3680 0.3680 0.3680
0.6320 0.6320 0.6320
0.5000 0.5000 0.5000
0.2312 0.2312 0.2312
0.7688 0.7688 0.7688
```

## Properties
SG: R-3m
Energy of formation: -363 meV per atom
Crystal system: trigonal



DFT (PBE) results for Er4Sc3Ni2 after structural relaxation.

POSCAR file:
```
Er4Sc3Ni2
1.0
7.9824 -1.7251 0.0000
7.9824 1.7251 0.0000
-3.3860 0.0000 7.8735
Er Sc Ni
4 3 2
Direct
0.1274 0.1274 0.3889
0.2672 0.2672 0.8418
0.7328 0.7328 0.1582
0.8726 0.8726 0.6111
0.4338 0.4338 0.3144
0.5000 0.5000 0.0000
0.5662 0.5662 0.6856
0.1125 0.1125 0.9336
0.8875 0.8875 0.0664
```

## Properties
SG: C2/m
Energy of formation: -190 meV per atom
Crystal system: monoclinic



DFT (PBE) results for RbScGe after structural relaxation.

POSCAR file:
```
RbScGe
1.0
3.4910 0.0000 0.0000
0.0000 4.1710 0.0000
-0.2289 0.0000 13.5236
Rb Sc Ge
2 2 2
Direct
0.2286 0.2500 0.1659
0.7714 0.7500 0.8341
0.2447 0.2500 0.4235
0.7553 0.7500 0.5765
0.2592 0.2500 0.6340
0.7408 0.7500 0.3660
```

## Properties
SG: P2_1/m
Energy of formation: -312 meV per atom
Crystal system: monoclinic



DFT (PBE) results for BaPa4N8 after structural relaxation.

POSCAR file:
```
BaPa4N8
1.0
6.7164 -1.8671 0.0000
6.7164 1.8671 0.0000
-5.2465 0.0000 8.3700
Ba Pa N
1 4 8
Direct
0.0000 0.0000 0.0000
0.1642 0.1642 0.8077
0.3815 0.3815 0.5540
0.6185 0.6185 0.4460
0.8358 0.8358 0.1923
0.0282 0.0282 0.2932
0.2323 0.2323 0.6035
0.3371 0.3371 0.0173
0.4043 0.4043 0.3462
0.5957 0.5957 0.6538
0.6629 0.6629 0.9827
0.7677 0.7677 0.3965
0.9718 0.9718 0.7068
```

## Properties
Formation energy without anion corrections: -17.48 eV/f.u.
SG: C2/m
Crystal system: monoclinic



Number 1: N(E_F) 0.703 states/eV/atom, ρ 4.5 g/cm³, magnetic moment 0.8 μB/f.u.. Number 2: N(E_F) 0.214 states/eV/atom, ρ 6.2 g/cm³, magnetic moment 0.0 μB/f.u.. Number 3: N(E_F) 1.654 states/eV/atom, ρ 5.8 g/cm³, magnetic moment 0.0 μB/f.u.. Number 4: N(E_F) 2.454 states/eV/atom, ρ 7.4 g/cm³, magnetic moment 5.5 μB/f.u.. Number 5: N(E_F) 0.517 states/eV/atom, ρ 5.0 g/cm³, magnetic moment 0.0 μB/f.u.. Number 6: N(E_F) 0.194 states/eV/atom, ρ 11.1 g/cm³, magnetic moment 0.0 μB/f.u.. Number 7: N(E_F) 0.634 states/eV/atom, ρ 9.0 g/cm³, magnetic moment 0.0 μB/f.u.. Number 8: N(E_F) 0.694 states/eV/atom, ρ 7.5 g/cm³, magnetic moment 0.0 μB/f.u.. Number 9: N(E_F) 1.300 states/eV/atom, ρ 7.1 g/cm³, magnetic moment 0.0 μB/f.u.. Number 10: N(E_F) 0.669 states/eV/atom, ρ 3.4 g/cm³, magnetic moment 0.0 μB/f.u.. Number 11: N(E_F) 0.760 states/eV/atom, ρ 9.3 g/cm³, magnetic moment 0.0 μB/f.u..